No. 1
Below is crystalline Pu2Hg3Au2 at its relaxed geometry, with properties calculated at the PBE-GGA level.

## Properties
Electronic total energy   -5.340 eV/atom
Mass density   14.495 g cm⁻³
Energy of formation from the pure elements   -0.180 eV/atom

abc: 4.7070 3.1549 11.6827
angles: 90.00 101.57 90.00
Closest atoms and distances in Å follow each position.
Space group P2/m (No. 10)
Unique sites:
Pu 0.0797 0.0000 0.1592 [2 per cell]  4 Au 3.13, 2 Pu 3.15, 6 Hg 3.37-3.40
Hg 0.2113 0.5000 0.4228 [2 per cell]  2 Au 2.90, 4 Hg 2.94-3.15
Hg 0.5000 0.5000 0.0000 [1 per cell]  2 Au 3.15, 2 Hg 3.15, 8 Pu 3.37
Au 0.3626 0.5000 0.7251 [2 per cell]  3 Hg 2.90-3.15, 4 Pu 3.13, 2 Au 3.15

No. 2
Below is crystalline PuHg3Au8 at its relaxed geometry, with properties calculated at the PBE-GGA level.

## Properties
Electronic total energy   -3.556 eV/atom
Mass density   15.964 g cm⁻³
Energy of formation from the pure elements   -0.102 eV/atom

abc: 5.6716 5.6716 27.1246
angles: 90.00 90.00 120.00
Closest atoms and distances in Å follow each position.
Space group R3m (No. 160, hexagonal axes)
Unique sites:
Pu 0.0000 0.0000 0.0000 [3 per cell]  12 Au 3.25-3.32, 4 Hg 3.43-3.48
Hg 0.0000 0.0000 0.3763 [3 per cell]  12 Au 3.28-3.33, 1 Hg 3.33, 3 Pu 3.48
Hg 0.0000 0.0000 0.4991 [3 per cell]  12 Au 3.28-3.32, 4 Hg 3.33-3.46
Hg 0.0000 0.0000 0.8735 [3 per cell]  12 Au 3.25-3.32, 1 Pu 3.43, 3 Hg 3.46
Au 0.0000 0.0000 0.1870 [3 per cell]  6 Au 2.79
Au 0.0000 0.0000 0.6872 [3 per cell]  6 Au 2.79-2.80
Au 0.0008 0.5004 0.9371 [9 per cell]  6 Au 2.79-2.84
Au 0.1670 0.3340 0.7703 [9 per cell]  6 Au 2.79-2.84

No. 3
Below is crystalline PuHgAu2 at its relaxed geometry, with properties calculated at the PBE-GGA level.

## Properties
Electronic total energy   -5.544 eV/atom
Mass density   15.506 g cm⁻³
ΔE to the lowest computed polymorph   61.8 meV/atom
Energy of formation from the pure elements   -0.247 eV/atom

abc: 7.1085 7.1085 7.1085
angles: 90.00 90.00 90.00
Closest atoms and distances in Å follow each position.
Space group F-43m (No. 216)
Unique sites:
Pu 0.0000 0.0000 0.0000 [4 per cell]  4 Hg 3.08, 4 Au 3.08
Hg 0.2500 0.2500 0.7500 [4 per cell]  4 Pu 3.08, 4 Au 3.08
Au 0.0000 0.0000 0.5000 [4 per cell]  4 Au 3.08, 4 Hg 3.08
Au 0.2500 0.2500 0.2500 [4 per cell]  4 Pu 3.08, 4 Au 3.08

No. 4
Below is crystalline PuHgAu2 at its relaxed geometry, with properties calculated at the PBE-GGA level.

## Properties
Electronic total energy   -5.464 eV/atom
Mass density   15.410 g cm⁻³
ΔE to the lowest computed polymorph   142.3 meV/atom
Energy of formation from the pure elements   -0.167 eV/atom

abc: 6.2185 9.4591 3.0723
angles: 90.00 90.00 90.00
Closest atoms and distances in Å follow each position.
Space group Cmmm (No. 65)
Unique sites:
Pu 0.0000 0.0000 0.0000 [2 per cell]  2 Pu 3.07, 8 Au 3.22
Hg 0.0000 0.5000 0.5000 [2 per cell]  4 Au 2.83, 2 Hg 3.07
Au 0.2500 0.2500 0.5000 [4 per cell]  2 Hg 2.83, 4 Au 3.07-3.11